A.
A plane-wave DFT calculation with PBE was carried out for a relaxed RbYTi2 crystal.

Computed properties:
Total moment   0.00 μB/f.u.
Calculated density   3.5 g cm⁻³
SG   I-42d (122)

Structure (POSCAR):
```
RbYTi2
1.0
4.7473 0.0000 0.0000
0.0000 4.7473 0.0000
2.3737 2.3737 11.2214
Y Ti Rb
2 4 2
Direct
0.7500 0.2500 0.5000
0.0000 0.0000 0.0000
0.7809 0.1250 0.2500
0.9691 0.6250 0.2500
0.3750 0.2191 0.7500
0.8750 0.0309 0.7500
0.5000 0.5000 0.0000
0.2500 0.7500 0.5000
```

---

B.
A plane-wave DFT calculation with PBE was carried out for a relaxed RbYTi2 crystal.

Computed properties:
Total moment   5.65 μB/f.u.
Calculated density   3.8 g cm⁻³
SG   Fm-3m (225)

Structure (POSCAR):
```
RbYTi2
1.0
-5.2092 1.3234 1.2537
-2.2418 4.6134 -2.0371
-3.9323 -0.3141 -3.8597
Ti Y Rb
2 1 1
Direct
0.7500 0.7500 0.7500
0.2500 0.2500 0.2500
0.5000 0.5000 0.5000
0.0000 0.0000 0.0000
```

---

Stability ranking, top and bottom: B is the most stable and A is the least stable.

---

A.
A plane-wave DFT calculation with PBE was carried out for a relaxed RbY2Ti crystal.

Computed properties:
Total moment   2.53 μB/f.u.
Calculated density   4.0 g cm⁻³
SG   Fm-3m (225)

Structure (POSCAR):
```
RbY2Ti
1.0
0.0000 4.0030 4.0030
4.0030 0.0000 4.0030
4.0030 4.0030 0.0000
Y Rb Ti
2 1 1
Direct
0.2500 0.2500 0.2500
0.7500 0.7500 0.7500
0.5000 0.5000 0.5000
0.0000 0.0000 0.0000
```

---

B.
A plane-wave DFT calculation with PBE was carried out for a relaxed RbY2Ti crystal.

Computed properties:
Total moment   2.98 μB/f.u.
Calculated density   3.8 g cm⁻³
SG   I-42d (122)

Structure (POSCAR):
```
RbY2Ti
1.0
-7.7398 -2.0176 3.7812
4.2775 -4.1212 6.5568
-1.6269 -0.1060 6.9636
Rb Ti Y
2 2 4
Direct
0.0000 0.0000 0.0000
0.7500 0.2500 0.5000
0.2500 0.7500 0.5000
0.5000 0.5000 0.0000
0.5973 0.1250 0.2500
0.8750 0.8473 0.7500
0.1527 0.6250 0.2500
0.3750 0.4027 0.7500
```

---

Stability ranking, top and bottom: A is the most stable and B is the least stable.

---

A.
A plane-wave DFT calculation with PBE was carried out for a relaxed RbTi3Zn crystal.

Computed properties:
Total moment   2.47 μB/f.u.
Calculated density   4.7 g cm⁻³
SG   Pm-3m (221)

Structure (POSCAR):
```
RbTi3Zn
1.0
4.7026 0.0000 0.0000
0.0000 4.7026 0.0000
0.0000 0.0000 4.7026
Ti Rb Zn
3 1 1
Direct
0.5000 0.0000 0.0000
0.0000 0.5000 0.0000
0.0000 0.0000 0.5000
0.0000 0.0000 0.0000
0.5000 0.5000 0.5000
```

---

B.
A plane-wave DFT calculation with PBE was carried out for a relaxed RbTi3Zn crystal.

Computed properties:
Total moment   2.07 μB/f.u.
Calculated density   3.9 g cm⁻³
SG   Pm-3m (221)

Structure (POSCAR):
```
RbTi3Zn
1.0
4.9947 0.0000 0.0000
0.0000 4.9947 0.0000
0.0000 0.0000 4.9947
Rb Ti Zn
1 3 1
Direct
0.5000 0.5000 0.5000
0.5000 0.0000 0.0000
0.0000 0.5000 0.0000
0.0000 0.0000 0.5000
0.0000 0.0000 0.0000
```

---

Stability ranking, top and bottom: B is the most stable and A is the least stable.

---

A.
A plane-wave DFT calculation with PBE was carried out for a relaxed RbZrTi2 crystal.

Computed properties:
Total moment   0.00 μB/f.u.
Calculated density   3.5 g cm⁻³
SG   I4_1/amd (141)

Structure (POSCAR):
```
RbZrTi2
1.0
-2.0313 -4.5413 0.5524
1.3815 -0.0327 4.8110
-9.2039 1.9982 5.2604
Rb Ti Zr
2 4 2
Direct
0.2500 0.7500 0.5000
0.5000 0.5000 0.0000
0.3750 0.1250 0.7500
0.8750 0.1250 0.7500
0.8750 0.1250 0.2500
0.8750 0.6250 0.2500
0.0000 0.0000 0.0000
0.7500 0.2500 0.5000
```

---

B.
A plane-wave DFT calculation with PBE was carried out for a relaxed RbZrTi2 crystal.

Computed properties:
Total moment   0.00 μB/f.u.
Calculated density   4.8 g cm⁻³
SG   Fm-3m (225)

Structure (POSCAR):
```
RbZrTi2
1.0
5.0377 -0.2016 0.7387
2.0798 2.3292 4.0266
1.9039 -2.7598 3.8370
Zr Ti Rb
1 2 1
Direct
0.5000 0.5000 0.5000
0.2500 0.2500 0.2500
0.7500 0.7500 0.7500
0.0000 0.0000 0.0000
```

---

Stability ranking, top and bottom: B is the most stable and A is the least stable.

---

A.
A plane-wave DFT calculation with PBE was carried out for a relaxed RbZr3Ti crystal.

Computed properties:
Total moment   0.00 μB/f.u.
Calculated density   5.4 g cm⁻³
SG   Pm-3m (221)

Structure (POSCAR):
```
RbZr3Ti
1.0
-2.1546 -1.4923 -4.2679
-0.7901 -4.5308 1.9830
-4.4517 1.5263 1.7137
Zr Rb Ti
3 1 1
Direct
0.5000 0.0000 0.0000
0.0000 0.5000 0.0000
0.0000 0.0000 0.5000
0.0000 0.0000 0.0000
0.5000 0.5000 0.5000
```

---

B.
A plane-wave DFT calculation with PBE was carried out for a relaxed RbZr3Ti crystal.

Computed properties:
Total moment   0.00 μB/f.u.
Calculated density   4.7 g cm⁻³
SG   Pm-3m (221)

Structure (POSCAR):
```
RbZr3Ti
1.0
5.2505 0.0000 0.0000
0.0000 5.2505 0.0000
0.0000 0.0000 5.2505
Zr Rb Ti
3 1 1
Direct
0.0000 0.5000 0.0000
0.5000 0.0000 0.0000
0.0000 0.0000 0.5000
0.5000 0.5000 0.5000
0.0000 0.0000 0.0000
```

---

Stability ranking, top and bottom: B is the most stable and A is the least stable.

---

A.
A plane-wave DFT calculation with PBE was carried out for a relaxed Rb2ZrTi crystal.

Computed properties:
Total moment   0.00 μB/f.u.
Calculated density   3.7 g cm⁻³
SG   Fm-3m (225)

Structure (POSCAR):
```
Rb2ZrTi
1.0
0.0000 4.1267 4.1267
4.1267 0.0000 4.1267
4.1267 4.1267 0.0000
Zr Rb Ti
1 2 1
Direct
0.5000 0.5000 0.5000
0.7500 0.7500 0.7500
0.2500 0.2500 0.2500
0.0000 0.0000 0.0000
```

---

B.
A plane-wave DFT calculation with PBE was carried out for a relaxed Rb2ZrTi crystal.

Computed properties:
Total moment   1.46 μB/f.u.
Calculated density   2.3 g cm⁻³
SG   I-42d (122)

Structure (POSCAR):
```
Rb2ZrTi
1.0
13.6590 0.0000 0.0000
0.0000 13.6590 0.0000
6.8295 6.8295 2.4456
Rb Ti Zr
4 2 2
Direct
0.2759 0.6250 0.2500
0.3750 0.5259 0.7500
0.8750 0.7241 0.7500
0.4741 0.1250 0.2500
0.2500 0.7500 0.5000
0.5000 0.5000 0.0000
0.7500 0.2500 0.5000
0.0000 0.0000 0.0000
```

---

Stability ranking, top and bottom: B is the most stable and A is the least stable.

---

A.
A plane-wave DFT calculation with PBE was carried out for a relaxed Rb2Tl crystal.

Computed properties:
Total moment   0.00 μB/f.u.
Calculated density   3.6 g cm⁻³
SG   C2/m (12)

Structure (POSCAR):
```
Rb2Tl
1.0
-2.8486 1.4596 3.2751
-7.3733 -1.4256 -2.5762
-4.0802 -9.3554 3.8220
Rb Tl
4 2
Direct
0.1743 0.3013 0.3500
0.8257 0.6987 0.6500
0.5248 0.1409 0.8095
0.4752 0.8591 0.1905
0.1905 0.6562 0.9628
0.8095 0.3438 0.0372
```

---

B.
A plane-wave DFT calculation with PBE was carried out for a relaxed Rb2Tl crystal.

Computed properties:
Total moment   0.25 μB/f.u.
Calculated density   3.6 g cm⁻³
SG   I4/mmm (139)

Structure (POSCAR):
```
Rb2Tl
1.0
-0.6224 3.4897 2.8801
-4.4621 0.0085 -0.9746
1.1807 -7.0984 5.2345
Rb Tl
2 1
Direct
0.6348 0.6348 0.2696
0.3652 0.3652 0.7304
0.0000 0.0000 0.0000
```

---

C.
A plane-wave DFT calculation with PBE was carried out for a relaxed Rb2Tl crystal.

Computed properties:
Total moment   0.00 μB/f.u.
Calculated density   3.7 g cm⁻³
SG   Fd-3m (227)

Structure (POSCAR):
```
Rb2Tl
1.0
7.8299 0.0000 0.0000
3.9150 6.7809 0.0000
3.9150 2.2603 6.3931
Tl Rb
2 4
Direct
0.0000 0.0000 0.0000
0.2500 0.2500 0.2500
0.6250 0.6250 0.6250
0.6250 0.6250 0.1250
0.1250 0.6250 0.6250
0.6250 0.1250 0.6250
```

---

Stability ranking, top and bottom: A is the most stable and C is the least stable.

---

A.
A plane-wave DFT calculation with PBE was carried out for a relaxed Rb4Tl crystal.

Computed properties:
Total moment   0.00 μB/f.u.
Calculated density   2.6 g cm⁻³
SG   Ibam (72)

Structure (POSCAR):
```
Rb4Tl
1.0
7.3826 0.0002 -2.5933
-1.2950 8.7204 -3.6858
-0.1899 -0.5025 11.2643
Tl Rb
2 8
Direct
0.2500 0.0000 0.0000
0.7500 0.0000 0.0000
0.9223 0.2425 0.8445
0.1698 0.3125 0.3396
0.0777 0.7575 0.1555
0.5777 0.3980 0.1555
0.6698 0.0271 0.3396
0.3302 0.9729 0.6604
0.4223 0.6020 0.8445
0.8302 0.6875 0.6604
```

---

B.
A plane-wave DFT calculation with PBE was carried out for a relaxed Rb4Tl crystal.

Computed properties:
Total moment   0.00 μB/f.u.
Calculated density   2.3 g cm⁻³
SG   Pm-3m (221)

Structure (POSCAR):
```
Rb4Tl
1.0
-5.8393 -1.8964 4.0217
1.2880 -7.0753 -1.4663
4.2558 -0.4608 5.9619
Rb Tl
4 1
Direct
0.0000 0.0000 0.0000
0.5000 0.5000 0.0000
0.5000 0.0000 0.5000
0.0000 0.5000 0.5000
0.5000 0.5000 0.5000
```

---

Stability ranking, top and bottom: A is the most stable and B is the least stable.